(1)
{
  "formula": "La12PuHg6",
  "functional": "PBE-GGA",
  "state": "relaxed",
  "lattice": [[8.3344, 0.6168, 0.7389], [-0.6538, 8.3316, 0.7389], [-0.6538, -0.7618, 8.3296]],
  "species": ["La", "La", "La", "La", "La", "La", "La", "La", "La", "La", "La", "La", "Hg", "Hg", "Hg", "Hg", "Hg", "Hg", "Pu"],
  "fractional_positions": [[0.3777, 0.0337, 0.1463], [0.4376, 0.8133, 0.5438], [0.4562, 0.5624, 0.1867], [0.5624, 0.1867, 0.4562], [0.5438, 0.4376, 0.8133], [0.8537, 0.6223, 0.9663], [0.6223, 0.9663, 0.8537], [0.9663, 0.8537, 0.6223], [0.1463, 0.3777, 0.0337], [0.0337, 0.1463, 0.3777], [0.1867, 0.4562, 0.5624], [0.8133, 0.5438, 0.4376], [0.8817, 0.2575, 0.7306], [0.7425, 0.2694, 0.1183], [0.2575, 0.7306, 0.8817], [0.2694, 0.1183, 0.7425], [0.1183, 0.7425, 0.2694], [0.7306, 0.8817, 0.2575], [0.0000, 0.0000, 0.0000]],
  "rho_g_cm3": 8.76,
  "formation_energy_ev_per_atom": -0.21,
  "vol_a3_per_cell": 590.5,
  "energy_ry_per_atom": -0.3063,
  "dos_at_fermi_per_ev_cell": 27.97,
  "spacegroup": "R-3"
}

***

(2)
{
  "formula": "Ac6InTe5",
  "functional": "PBE-GGA",
  "state": "relaxed",
  "lattice": [[8.1457, 0.2585, 1.2700], [1.9240, 6.9598, 4.0446], [0.0978, 0.0975, 8.2537]],
  "species": ["Ac", "Ac", "Ac", "Ac", "Ac", "Ac", "Te", "Te", "Te", "Te", "Te", "In"],
  "fractional_positions": [[0.7556, 0.0811, 0.3253], [0.2444, 0.9189, 0.6747], [0.2463, 0.2426, 0.0000], [0.2444, 0.5936, 0.3253], [0.7537, 0.7574, 0.0000], [0.7556, 0.4064, 0.6747], [0.5000, 0.5000, 0.0000], [0.0000, 0.6660, 0.6680], [0.5000, 0.8299, 0.3402], [0.5000, 0.1701, 0.6598], [0.0000, 0.3340, 0.3320], [0.0000, 0.0000, 0.0000]],
  "rho_g_cm3": 7.63,
  "formation_energy_uncorrected_mev_per_atom": -1328.1,
  "vol_a3_per_cell": 460.1,
  "energy_ry_per_atom": -0.3616,
  "dos_at_fermi_per_ev_cell": 6.92,
  "spacegroup": "C2/m"
}

***

(3)
{
  "formula": "K3TaRh2Se6",
  "functional": "PBE-GGA",
  "state": "relaxed",
  "lattice": [[-0.2905, -0.2689, -6.7877], [6.0212, -0.2516, 3.1483], [-2.3723, -7.0905, 1.5193]],
  "species": ["Se", "Se", "Se", "Se", "Se", "Se", "Ta", "K", "K", "K", "Rh", "Rh"],
  "fractional_positions": [[0.0591, 0.3995, 0.1766], [0.2821, 0.2821, 0.8240], [0.9409, 0.6005, 0.8234], [0.3995, 0.0591, 0.1766], [0.6005, 0.9409, 0.8234], [0.7179, 0.7179, 0.1760], [0.0000, 0.0000, 0.0000], [0.1653, 0.8347, 0.5000], [0.8347, 0.1653, 0.5000], [0.5000, 0.5000, 0.5000], [0.3333, 0.6667, 0.0000], [0.6667, 0.3333, 0.0000]],
  "rho_g_cm3": 5.56,
  "formation_energy_uncorrected_mev_per_atom": -698.2,
  "vol_a3_per_cell": 291.9,
  "energy_ry_per_atom": -0.3622,
  "dos_at_fermi_per_ev_cell": 8.57,
  "spacegroup": "C2/m"
}

***

(4)
{
  "formula": "Th3Zn9Cd2",
  "functional": "PBE-GGA",
  "state": "relaxed",
  "lattice": [[4.4438, 0.0000, -0.9095], [-0.8804, 7.8354, -4.3019], [-0.5798, -0.5584, 8.4782]],
  "species": ["Zn", "Zn", "Zn", "Zn", "Zn", "Zn", "Zn", "Zn", "Zn", "Cd", "Cd", "Th", "Th", "Th"],
  "fractional_positions": [[0.6579, 0.2955, 0.3159], [0.1469, 0.4258, 0.2938], [0.8531, 0.1320, 0.7062], [0.3421, 0.9796, 0.6841], [0.6579, 0.0204, 0.3159], [0.8531, 0.5742, 0.7062], [0.1469, 0.8680, 0.2938], [0.3421, 0.7045, 0.6841], [0.0000, 0.5000, 0.0000], [0.5000, 0.6847, 0.0000], [0.5000, 0.3153, 0.0000], [0.0000, 0.0000, 0.0000], [0.2889, 0.2889, 0.5778], [0.7111, 0.7111, 0.4222]],
  "rho_g_cm3": 8.95,
  "formation_energy_ev_per_atom": -0.25,
  "vol_a3_per_cell": 279.9,
  "energy_ry_per_atom": -0.2050,
  "dos_at_fermi_per_ev_cell": 6.31,
  "spacegroup": "Immm"
}